The following is a DFT calculation (PBE-GGA) of SrHgTeO after structural relaxation.

Calculated values
The value obtained for the volume is 23.83 A^3/atom. The uncorrected energy is -3.6429 eV per atom. The distance to the lowest polymorph of the same formula comes out at 171 meV per atom. For the theoretical density, the calculation gives 7.5 g cm⁻³. Its symmetry is P4/nmm, No. 129.

abc: 4.109 4.109 11.291
angles: 90.00 90.00 90.00
Fractional coordinates of all 8 atoms:
Hg (0.750, 0.250, 0.000)
Hg (0.250, 0.750, 0.000)
O (0.250, 0.250, 0.416)
O (0.750, 0.750, 0.584)
Sr (0.750, 0.750, 0.378)
Sr (0.250, 0.250, 0.622)
Te (0.250, 0.250, 0.221)
Te (0.750, 0.750, 0.779)

---

The following is a DFT calculation (PBE-GGA) of WSe2 after structural relaxation.

Calculated values
The value obtained for the volume is 20.05 A^3/atom. The uncorrected energy is -6.8791 eV per atom. For the theoretical density, the calculation gives 9.4 g cm⁻³. Its symmetry is P2_1/c, No. 14.

abc: 6.477 6.347 6.581
angles: 90.00 117.20 90.00
Fractional coordinates of all 12 atoms:
Se (0.857, 0.362, 0.123)
Se (0.346, 0.149, 0.169)
Se (0.654, 0.649, 0.331)
Se (0.143, 0.862, 0.377)
Se (0.857, 0.138, 0.623)
Se (0.346, 0.351, 0.669)
Se (0.654, 0.851, 0.831)
Se (0.143, 0.638, 0.877)
W (0.714, 0.008, 0.197)
W (0.286, 0.508, 0.303)
W (0.714, 0.492, 0.697)
W (0.286, 0.992, 0.803)

---

The following is a DFT calculation (PBE-GGA) of SrLaIn4Pd2 after structural relaxation.

Calculated values
The value obtained for the volume is 24.17 A^3/atom. The uncorrected energy is -4.1238 eV per atom. For the theoretical density, the calculation gives 7.7 g cm⁻³. Its symmetry is Amm2, No. 38.

abc: 7.889 5.822 5.822
angles: 46.32 90.00 90.00
Fractional coordinates of all 8 atoms:
In (0.197, 0.355, 0.355)
In (0.803, 0.355, 0.355)
In (0.303, 0.645, 0.645)
In (0.697, 0.645, 0.645)
La (0.500, 0.933, 0.933)
Pd (0.500, 0.215, 0.215)
Pd (0.000, 0.785, 0.785)
Sr (0.000, 0.067, 0.067)

---

The following is a DFT calculation (PBE-GGA) of Y2TmFeCo8 after structural relaxation.

Calculated values
Its energy of formation is -0.17 eV/atom. The value obtained for the volume is 14.45 A^3/atom. The uncorrected energy is -7.0501 eV per atom. For the theoretical density, the calculation gives 8.4 g cm⁻³. Its symmetry is R-3m, No. 166.

abc: 8.506 8.506 8.506
angles: 34.20 34.20 34.20
Fractional coordinates of all 12 atoms:
Co (0.582, 0.582, 0.080)
Co (0.334, 0.334, 0.334)
Co (0.920, 0.418, 0.418)
Co (0.418, 0.920, 0.418)
Co (0.582, 0.080, 0.582)
Co (0.080, 0.582, 0.582)
Co (0.666, 0.666, 0.666)
Co (0.418, 0.418, 0.920)
Fe (0.500, 0.500, 0.500)
Tm (0.000, 0.000, 0.000)
Y (0.139, 0.139, 0.139)
Y (0.861, 0.861, 0.861)

---

The following is a DFT calculation (PBE-GGA) of Pr2Nd2CI3Cl2 after structural relaxation.

Calculated values
The value obtained for the volume is 33.07 A^3/atom. The uncorrected energy is -5.0124 eV per atom. The distance to the lowest polymorph of the same formula comes out at 0 meV per atom. For the theoretical density, the calculation gives 5.2 g cm⁻³. Its symmetry is C2/m, No. 12.

abc: 9.704 9.704 8.774
angles: 100.91 100.91 24.08
Fractional coordinates of all 10 atoms:
C (0.500, 0.500, 0.000)
Cl (0.149, 0.149, 0.304)
Cl (0.851, 0.851, 0.696)
I (0.827, 0.827, 0.190)
I (0.500, 0.500, 0.500)
I (0.173, 0.173, 0.810)
Nd (0.998, 0.998, 0.196)
Nd (0.002, 0.002, 0.804)
Pr (0.637, 0.637, 0.070)
Pr (0.363, 0.363, 0.930)

---

The following is a DFT calculation (PBE-GGA) of InFeGe2 after structural relaxation.

Calculated values
The value obtained for the volume is 17.28 A^3/atom. The uncorrected energy is -4.5486 eV per atom. For the theoretical density, the calculation gives 7.6 g cm⁻³. Its symmetry is F-43m, No. 216.

abc: 4.607 4.607 4.607
angles: 60.00 60.00 60.00
Fractional coordinates of all 4 atoms:
Fe (0.250, 0.250, 0.250)
Ge (0.000, 0.000, 0.000)
Ge (0.750, 0.750, 0.750)
In (0.500, 0.500, 0.500)

---

The highest uncorrected energy belongs to which entry? SrHgTeO